{
  "formula": "Ac5IrPb2",
  "functional": "PBE",
  "state": "optimized geometry",
  "formation_enthalpy_0k_kj_per_mol_atoms": -32,
  "density_g_cm3": 9.396,
  "polymorph_energy_mev_per_atom": 219,
  "lattice_angstrom": [[3.224, -5.645, 0.000], [3.224, 5.645, 0.000], [0.000, 0.000, 16.912]],
  "species": ["Ac", "Ac", "Ac", "Ac", "Ac", "Ac", "Ac", "Ac", "Ac", "Ac", "Ir", "Ir", "Pb", "Pb", "Pb", "Pb"],
  "fractional_positions": [[0.084, 0.916, 0.619], [0.084, 0.916, 0.881], [0.250, 0.750, 0.250], [0.416, 0.584, 0.619], [0.416, 0.584, 0.881], [0.584, 0.416, 0.119], [0.584, 0.416, 0.381], [0.750, 0.250, 0.750], [0.916, 0.084, 0.119], [0.916, 0.084, 0.381], [0.249, 0.751, 0.750], [0.751, 0.249, 0.250], [0.250, 0.750, 0.051], [0.250, 0.750, 0.449], [0.750, 0.250, 0.551], [0.750, 0.250, 0.949]]
}